Below is a relaxed structure of SmPaBi2O8, with properties calculated at the PBE level.

Lattice parameters (Å, degrees): 7.3709 7.3709 7.3975 90.00 90.00 90.00
Last column: nearest neighbours and their distance in Å.
Space group I-4m2 (No. 119)
Symmetry-distinct sites (fractional):
Sm (0.0000, 0.0000, 0.0000) [2 per cell]  8 O 2.35-2.57
Pa (0.0000, 0.5000, 0.2500) [2 per cell]  4 O 2.18
Bi (0.0000, 0.0000, 0.5000) [2 per cell]  4 O 2.22
Bi (0.0000, 0.5000, 0.7500) [2 per cell]  4 O 2.05
O (0.0000, 0.2056, 0.2808) [8 per cell]  1 Pa 2.18, 1 Bi 2.22
O (0.0000, 0.3160, 0.9581) [8 per cell]  1 Bi 2.05

The value obtained for the density is 7.663 g/cm3. For the calculated total energy, the calculation gives -174.3 eV for the cell shown. Its crystal system is tetragonal. As for the calculated volume: 16.75 Å³ per atom.

=====

Below is a relaxed structure of PaSn2BiO8, with properties calculated at the PBE level.

Lattice parameters (Å, degrees): 7.3127 7.3127 7.0114 90.00 90.00 90.00
Last column: nearest neighbours and their distance in Å.
Space group I-4m2 (No. 119)
Symmetry-distinct sites (fractional):
Pa (0.0000, 0.0000, 0.0000) [2 per cell]  8 O 2.25-2.42
Sn (0.0000, 0.0000, 0.5000) [2 per cell]  4 O 1.97
Sn (0.0000, 0.5000, 0.7500) [2 per cell]  4 O 1.97
Bi (0.0000, 0.5000, 0.2500) [2 per cell]  8 O 2.36-2.61
O (0.0000, 0.1801, 0.2902) [8 per cell]  1 Sn 1.97
O (0.0000, 0.3019, 0.9405) [8 per cell]  1 Sn 1.97

The value obtained for the density is 7.134 g/cm3. For the calculated total energy, the calculation gives -168.7 eV for the cell shown. Its crystal system is tetragonal. As for the calculated volume: 15.62 Å³ per atom. The value obtained for the density of states at the Fermi level is 0.00 states/eV/atom.

=====

Below is a relaxed structure of SrPaBi2O8, with properties calculated at the PBE level.

Lattice parameters (Å, degrees): 7.5978 7.5978 7.2135 90.00 90.00 90.00
Last column: nearest neighbours and their distance in Å.
Space group I-4m2 (No. 119)
Symmetry-distinct sites (fractional):
Sr (0.0000, 0.0000, 0.0000) [2 per cell]  8 O 2.46-2.74
Pa (0.0000, 0.5000, 0.2500) [2 per cell]  4 O 2.21
Bi (0.0000, 0.0000, 0.5000) [2 per cell]  4 O 2.15
Bi (0.0000, 0.5000, 0.7500) [2 per cell]  4 O 2.04
O (0.0000, 0.2143, 0.3061) [8 per cell]  1 Bi 2.15, 1 Pa 2.21
O (0.0000, 0.3220, 0.9621) [8 per cell]  1 Bi 2.04

The value obtained for the density is 6.896 g/cm3. For the calculated total energy, the calculation gives -161.9 eV for the cell shown. Its crystal system is tetragonal. As for the calculated volume: 17.35 Å³ per atom. The value obtained for the density of states at the Fermi level is 0.33 states/eV/atom.

=====

Below is a relaxed structure of SrPaBiO5, with properties calculated at the PBE level.

Lattice parameters (Å, degrees): 8.4757 9.7701 8.5751 90.00 117.73 90.00
Last column: nearest neighbours and their distance in Å.
Space group C2/c (No. 15)
Symmetry-distinct sites (fractional):
Sr (0.0000, 0.0638, 0.2500) [4 per cell]  4 O 2.46-2.51
Pa (0.2500, 0.2500, 0.0000) [4 per cell]  6 O 2.16-2.22
Bi (0.0000, 0.4346, 0.2500) [4 per cell]  4 O 2.14-2.36
O (0.0000, 0.2271, 0.7500) [4 per cell]  2 Pa 2.22
O (0.0906, 0.2733, 0.1417) [8 per cell]  1 Bi 2.14, 1 Pa 2.21
O (0.2359, 0.0306, 0.0269) [8 per cell]  1 Pa 2.16, 1 Bi 2.36

The value obtained for the density is 6.421 g/cm3. For the calculated total energy, the calculation gives -245.3 eV for the cell shown. Its crystal system is monoclinic. As for the calculated volume: 19.64 Å³ per atom. The value obtained for the density of states at the Fermi level is 0.00 states/eV/atom.

=====

Below is a relaxed structure of SrPaBiO2, with properties calculated at the PBE level.

Lattice parameters (Å, degrees): 4.0004 4.0004 13.4374 90.00 90.00 90.00
Last column: nearest neighbours and their distance in Å.
Space group I4mm (No. 107)
Symmetry-distinct sites (fractional):
Sr (0.0000, 0.0000, 0.0000) [2 per cell]  4 O 2.53
Pa (0.0000, 0.0000, 0.3120) [2 per cell]  4 O 2.23
Bi (0.0000, 0.0000, 0.6639) [2 per cell]  4 Pa 3.46, 4 O 3.58, 4 Sr 3.58
O (0.0000, 0.5000, 0.3846) [4 per cell]  2 Pa 2.23

The value obtained for the density is 8.643 g/cm3. For the calculated total energy, the calculation gives -74.7 eV for the cell shown. Its crystal system is tetragonal. As for the calculated volume: 21.50 Å³ per atom. The value obtained for the density of states at the Fermi level is 0.30 states/eV/atom.

=====

Below is a relaxed structure of SrPaBiO6, with properties calculated at the PBE level.

Lattice parameters (Å, degrees): 5.7923 5.7923 10.6597 90.00 90.00 120.00
Last column: nearest neighbours and their distance in Å.
Space group P-31c (No. 163)
Symmetry-distinct sites (fractional):
Sr (0.0000, 0.0000, 0.0000) [2 per cell]  6 O 2.59
Pa (0.3333, 0.6667, 0.2500) [2 per cell]  6 O 2.21
Bi (0.3333, 0.6667, 0.7500) [2 per cell]  6 O 2.15
O (0.0076, 0.3679, 0.6415) [12 per cell]  1 Bi 2.15, 1 Pa 2.21

The value obtained for the density is 6.687 g/cm3. For the calculated total energy, the calculation gives -131.9 eV for the cell shown. Its crystal system is trigonal. As for the calculated volume: 17.21 Å³ per atom.

=====

Below is a relaxed structure of PaTaBiO6, with properties calculated at the PBE level.

Lattice parameters (Å, degrees): 5.6960 5.6960 9.7113 90.00 90.00 120.00
Last column: nearest neighbours and their distance in Å.
Space group P-31c (No. 163)
Symmetry-distinct sites (fractional):
Pa (0.3333, 0.6667, 0.2500) [2 per cell]  6 O 2.23
Ta (0.3333, 0.6667, 0.7500) [2 per cell]  6 O 2.03
Bi (0.0000, 0.0000, 0.0000) [2 per cell]  6 O 2.45
O (0.0262, 0.3739, 0.6372) [12 per cell]  1 Ta 2.03, 1 Pa 2.23

The value obtained for the density is 8.726 g/cm3. For the calculated total energy, the calculation gives -156.0 eV for the cell shown. Its crystal system is trigonal. As for the calculated volume: 15.16 Å³ per atom. The value obtained for the density of states at the Fermi level is 0.67 states/eV/atom.

=====

Below is a relaxed structure of PaTcBiO6, with properties calculated at the PBE level.

Lattice parameters (Å, degrees): 5.5726 5.5726 9.9401 90.00 90.00 120.00
Last column: nearest neighbours and their distance in Å.
Space group P-31c (No. 163)
Symmetry-distinct sites (fractional):
Pa (0.3333, 0.6667, 0.2500) [2 per cell]  6 O 2.19
Tc (0.3333, 0.6667, 0.7500) [2 per cell]  6 O 2.04
Bi (0.0000, 0.0000, 0.0000) [2 per cell]  6 O 2.41
O (0.0201, 0.3648, 0.6382) [12 per cell]  1 Tc 2.04, 1 Pa 2.19

The value obtained for the density is 7.877 g/cm3. For the calculated total energy, the calculation gives -145.6 eV for the cell shown. Its crystal system is trigonal. As for the calculated volume: 14.85 Å³ per atom.